Entry 1:
The following is a PBE-GGA calculation of an optimized crystal structure of Pm3YEr6, from Alexandria.

Summary:
The value obtained for the raw total energy is -93.10 eV per cell. For the energy relative to the lowest polymorph listed for this composition, the calculation gives 0.000 eV per atom. The energy relative to the elements is 15 kJ per mole of atoms.

Cell and atoms, written as CIF:
```
data_Pm3YEr6
_chemical_formula_sum 'Pm6 Y2 Er12'
_symmetry_space_group_name_H-M 'P 1'
_symmetry_Int_Tables_number 1
_symmetry_space_group_name_Hall 'P 1'
_cell_length_a 10.8264
_cell_length_b 10.8264
_cell_length_c 6.3545
_cell_angle_alpha 90.00
_cell_angle_beta 90.00
_cell_angle_gamma 119.76
loop_
_atom_site_label
_atom_site_type_symbol
_atom_site_fract_x
_atom_site_fract_y
_atom_site_fract_z
_atom_site_occupancy
Pm1 Pm 0.1124 0.8876 0.5000 1
Pm2 Pm 0.2069 0.4342 0.8966 1
Pm3 Pm 0.4342 0.2069 0.3966 1
Pm4 Pm 0.5658 0.7931 0.8966 1
Pm5 Pm 0.7931 0.5658 0.3966 1
Pm6 Pm 0.8876 0.1124 0.0000 1
Y1 Y 0.3105 0.6895 0.5576 1
Y2 Y 0.6895 0.3105 0.0576 1
Er1 Er 0.0252 0.4462 0.2983 1
Er2 Er 0.1225 0.2144 0.4759 1
Er3 Er 0.2144 0.1225 0.9759 1
Er4 Er 0.2318 0.7682 0.0829 1
Er5 Er 0.4462 0.0252 0.7983 1
Er6 Er 0.4647 0.5353 0.2838 1
Er7 Er 0.5353 0.4647 0.7838 1
Er8 Er 0.5538 0.9748 0.2983 1
Er9 Er 0.7682 0.2318 0.5829 1
Er10 Er 0.7856 0.8775 0.4759 1
Er11 Er 0.8775 0.7856 0.9759 1
Er12 Er 0.9748 0.5538 0.7983 1
```


Entry 2:
The following is a PBE-GGA calculation of an optimized crystal structure of Pm5Y3Er3, from Alexandria.

Summary:
The value obtained for the raw total energy is -55.44 eV per cell. For the energy relative to the lowest polymorph listed for this composition, the calculation gives 0.000 eV per atom. The energy relative to the elements is 12 kJ per mole of atoms.

Cell and atoms, written as CIF:
```
data_Pm5Y3Er3
_chemical_formula_sum 'Pm5 Y3 Er3'
_symmetry_space_group_name_H-M 'P 1'
_symmetry_Int_Tables_number 1
_symmetry_space_group_name_Hall 'P 1'
_cell_length_a 10.4290
_cell_length_b 3.6459
_cell_length_c 11.1360
_cell_angle_alpha 90.00
_cell_angle_beta 117.91
_cell_angle_gamma 90.00
loop_
_atom_site_label
_atom_site_type_symbol
_atom_site_fract_x
_atom_site_fract_y
_atom_site_fract_z
_atom_site_occupancy
Pm1 Pm 0.0000 0.0000 0.0000 1
Pm2 Pm 0.0922 0.0000 0.3596 1
Pm3 Pm 0.3191 0.5000 0.6841 1
Pm4 Pm 0.4163 0.0000 0.0083 1
Pm5 Pm 0.6834 0.0000 0.3677 1
Y1 Y 0.0394 0.0000 0.6830 1
Y2 Y 0.3222 0.5000 0.2324 1
Y3 Y 0.7740 0.5000 0.1358 1
Er1 Er 0.4645 0.0000 0.5163 1
Er2 Er 0.6323 0.0000 0.8520 1
Er3 Er 0.7688 0.5000 0.6840 1
```


Entry 3:
The following is a PBE-GGA calculation of an optimized crystal structure of Pm4Y10Er, from Alexandria.

Summary:
The value obtained for the raw total energy is -76.92 eV per cell. The energy relative to the elements is 73 kJ per mole of atoms.

Cell and atoms, written as CIF:
```
data_Pm4Y10Er
_chemical_formula_sum 'Pm4 Y10 Er1'
_symmetry_space_group_name_H-M 'P 1'
_symmetry_Int_Tables_number 1
_symmetry_space_group_name_Hall 'P 1'
_cell_length_a 9.4914
_cell_length_b 9.4914
_cell_length_c 9.4914
_cell_angle_alpha 99.59
_cell_angle_beta 99.59
_cell_angle_gamma 131.82
loop_
_atom_site_label
_atom_site_type_symbol
_atom_site_fract_x
_atom_site_fract_y
_atom_site_fract_z
_atom_site_occupancy
Pm1 Pm 0.1006 0.2989 0.3995 1
Pm2 Pm 0.2989 0.8994 0.1982 1
Pm3 Pm 0.7011 0.1006 0.8018 1
Pm4 Pm 0.8994 0.7011 0.6005 1
Y1 Y 0.0529 0.1531 0.7022 1
Y2 Y 0.1531 0.4509 0.1001 1
Y3 Y 0.2500 0.7500 0.5000 1
Y4 Y 0.3508 0.0529 0.8999 1
Y5 Y 0.4509 0.3508 0.2978 1
Y6 Y 0.5491 0.6492 0.7022 1
Y7 Y 0.6492 0.9471 0.1001 1
Y8 Y 0.7500 0.2500 0.5000 1
Y9 Y 0.8469 0.5491 0.8999 1
Y10 Y 0.9471 0.8469 0.2978 1
Er1 Er 0.5000 0.5000 0.0000 1
```


Entry 4:
The following is a PBE-GGA calculation of an optimized crystal structure of Pm3Y6Er, from Alexandria.

Summary:
The value obtained for the raw total energy is -112.34 eV per cell. For the energy relative to the lowest polymorph listed for this composition, the calculation gives 0.000 eV per atom. The energy relative to the elements is 14 kJ per mole of atoms.

Cell and atoms, written as CIF:
```
data_Pm3Y6Er
_chemical_formula_sum 'Pm6 Y12 Er2'
_symmetry_space_group_name_H-M 'P 1'
_symmetry_Int_Tables_number 1
_symmetry_space_group_name_Hall 'P 1'
_cell_length_a 10.9126
_cell_length_b 10.9126
_cell_length_c 6.4186
_cell_angle_alpha 90.00
_cell_angle_beta 90.00
_cell_angle_gamma 119.83
loop_
_atom_site_label
_atom_site_type_symbol
_atom_site_fract_x
_atom_site_fract_y
_atom_site_fract_z
_atom_site_occupancy
Pm1 Pm 0.1132 0.8868 0.5000 1
Pm2 Pm 0.2094 0.4369 0.8904 1
Pm3 Pm 0.4369 0.2094 0.3904 1
Pm4 Pm 0.5631 0.7906 0.8904 1
Pm5 Pm 0.7906 0.5631 0.3904 1
Pm6 Pm 0.8868 0.1132 0.0000 1
Y1 Y 0.0287 0.4459 0.2993 1
Y2 Y 0.1228 0.2116 0.4817 1
Y3 Y 0.2116 0.1228 0.9817 1
Y4 Y 0.2310 0.7690 0.0869 1
Y5 Y 0.4459 0.0287 0.7993 1
Y6 Y 0.4598 0.5402 0.2959 1
Y7 Y 0.5402 0.4598 0.7959 1
Y8 Y 0.5541 0.9713 0.2993 1
Y9 Y 0.7690 0.2310 0.5869 1
Y10 Y 0.7884 0.8772 0.4817 1
Y11 Y 0.8772 0.7884 0.9817 1
Y12 Y 0.9713 0.5541 0.7993 1
Er1 Er 0.3055 0.6945 0.5664 1
Er2 Er 0.6945 0.3055 0.0664 1
```


Entry 5:
The following is a PBE-GGA calculation of an optimized crystal structure of Pm6YEr, from Alexandria.

Summary:
The value obtained for the raw total energy is -38.10 eV per cell. For the energy relative to the lowest polymorph listed for this composition, the calculation gives 0.163 eV per atom. The energy relative to the elements is 17 kJ per mole of atoms.

Cell and atoms, written as CIF:
```
data_Pm6YEr
_chemical_formula_sum 'Pm6 Y1 Er1'
_symmetry_space_group_name_H-M 'P 1'
_symmetry_Int_Tables_number 1
_symmetry_space_group_name_Hall 'P 1'
_cell_length_a 6.5905
_cell_length_b 6.8711
_cell_length_c 7.0139
_cell_angle_alpha 118.99
_cell_angle_beta 101.12
_cell_angle_gamma 90.44
loop_
_atom_site_label
_atom_site_type_symbol
_atom_site_fract_x
_atom_site_fract_y
_atom_site_fract_z
_atom_site_occupancy
Pm1 Pm 0.2294 0.4023 0.4690 1
Pm2 Pm 0.2491 0.9470 0.9993 1
Pm3 Pm 0.2672 0.9289 0.5249 1
Pm4 Pm 0.7328 0.0711 0.4751 1
Pm5 Pm 0.7509 0.0530 0.0007 1
Pm6 Pm 0.7706 0.5977 0.5310 1
Y1 Y 0.5000 0.5000 0.0000 1
Er1 Er 0.0000 0.5000 0.0000 1
```


Entry 6:
The following is a PBE-GGA calculation of an optimized crystal structure of Pm6YEr12, from Alexandria.

Summary:
The value obtained for the raw total energy is -87.32 eV per cell. For the energy relative to the lowest polymorph listed for this composition, the calculation gives 0.000 eV per atom. The energy relative to the elements is 12 kJ per mole of atoms.

Cell and atoms, written as CIF:
```
data_Pm6YEr12
_chemical_formula_sum 'Pm6 Y1 Er12'
_symmetry_space_group_name_H-M 'P 1'
_symmetry_Int_Tables_number 1
_symmetry_space_group_name_Hall 'P 1'
_cell_length_a 8.6204
_cell_length_b 8.6204
_cell_length_c 8.6204
_cell_angle_alpha 79.73
_cell_angle_beta 79.73
_cell_angle_gamma 79.73
loop_
_atom_site_label
_atom_site_type_symbol
_atom_site_fract_x
_atom_site_fract_y
_atom_site_fract_z
_atom_site_occupancy
Pm1 Pm 0.2673 0.2673 0.6648 1
Pm2 Pm 0.2673 0.6648 0.2673 1
Pm3 Pm 0.3352 0.7327 0.7327 1
Pm4 Pm 0.6648 0.2673 0.2673 1
Pm5 Pm 0.7327 0.3352 0.7327 1
Pm6 Pm 0.7327 0.7327 0.3352 1
Y1 Y 0.5000 0.5000 0.5000 1
Er1 Er 0.0137 0.0137 0.6958 1
Er2 Er 0.0137 0.6958 0.0137 1
Er3 Er 0.0152 0.3633 0.3633 1
Er4 Er 0.3042 0.9863 0.9863 1
Er5 Er 0.3633 0.0152 0.3633 1
Er6 Er 0.3633 0.3633 0.0152 1
Er7 Er 0.6367 0.6367 0.9848 1
Er8 Er 0.6367 0.9848 0.6367 1
Er9 Er 0.6958 0.0137 0.0137 1
Er10 Er 0.9848 0.6367 0.6367 1
Er11 Er 0.9863 0.3042 0.9863 1
Er12 Er 0.9863 0.9863 0.3042 1
```